Material: Na3Pm3WO8
Method: DFT, PBE+U
State: optimized geometry

Unit cell a=6.9962 b=6.9656 c=6.8947 alpha=120.51 beta=90.00 gamma=120.15
With the nearest neighbours (Å) after each atom.
Element x y z (fractional)
1 Na 0.0000 0.0000 0.0000  6 O 2.54-2.57
2 Na 0.0000 0.5000 0.0000  6 O 2.54-2.58
3 Na 0.5000 0.5000 0.0000  6 O 2.54-2.58
4 Pm 0.5000 0.0000 0.5000  6 O 2.35-2.39
5 Pm 0.5000 0.5000 0.5000  6 O 2.34-2.41
6 Pm 0.0000 0.5000 0.5000  6 O 2.34-2.41
7 W 0.0000 0.0000 0.5000  6 O 2.10-2.14
8 O 0.2605 0.5210 0.2851  3 Pm 2.34-2.35, 3 Na 2.54-2.58
9 O 0.7395 0.4790 0.7149  3 Pm 2.34-2.35, 3 Na 2.54-2.58
10 O 0.7848 0.5696 0.3010  1 W 2.10
11 O 0.2152 0.4304 0.6990  1 W 2.10
12 O 0.7808 0.0169 0.3006  1 W 2.14, 2 Pm 2.38-2.39
13 O 0.2192 0.9831 0.6994  1 W 2.14, 2 Pm 2.38-2.39
14 O 0.2360 0.0169 0.3006  1 W 2.14, 2 Pm 2.38-2.39
15 O 0.7640 0.9831 0.6994  1 W 2.14, 2 Pm 2.38-2.39

Computed properties:
Spin magnetization in μB per cell: 2.00
V in Å³/f.u.: 235.20
Raw total energy in hartree per atom: -0.252